First-principles (PBE) data for an optimized crystal structure of CePaRu3, as listed in Alexandria.

```
CePaRu3
1.0
-4.3811 3.6431 -1.6323
-3.0193 -1.0457 -4.9925
-6.1135 -0.8122 3.8668
Ce Pa Ru
2 2 6
Direct
0.9178 0.4959 0.4333
0.5086 0.7005 0.0458
0.0448 0.9324 0.7419
0.3817 0.2640 0.7372
0.4239 0.9935 0.4252
0.0025 0.7043 0.0539
0.5037 0.2030 0.0539
0.0025 0.2029 0.0539
0.4239 0.4922 0.4252
0.9227 0.9934 0.4253
```

Space group: C2/m (12)
Calculated formation energy: -0.4564 eV per atom
E_tot: -9.108 eV/atom
Total moment: 0.000 μB/cell

---

First-principles (PBE) data for an optimized crystal structure of Ca2SbPb2, as listed in Alexandria.

```
Ca2SbPb2
1.0
8.2325 0.0000 0.0000
0.0000 8.2325 0.0000
0.0000 0.0000 4.6377
Pb Sb Ca
4 2 4
Direct
0.3690 0.8690 0.0000
0.8690 0.6310 0.0000
0.6310 0.1310 0.0000
0.1310 0.3690 0.0000
0.0000 0.0000 0.0000
0.5000 0.5000 0.0000
0.1729 0.6729 0.5000
0.6729 0.8271 0.5000
0.8271 0.3271 0.5000
0.3271 0.1729 0.5000
```

Space group: P4/mbm (127)
Polymorph energy (0 for the lowest one): 0.000 eV/atom
E_tot: -3.554 eV/atom
Total moment: 0.000 μB/cell
Formation energy from raw total energies: -0.45 eV/atom